Record 1
An optimized crystal structure of Na2Zn2MoO6. Source: Alexandria via LeMat-Bulk, functional PBE with a Hubbard U.

a = 5.2818 Å, b = 5.2818 Å, c = 5.6263 Å
α = 90.00°, β = 90.00°, γ = 120.00°
Space group P-31m (No. 162)
Asymmetric unit:
Na 0.3333 0.6667 0.0000 x2
Zn 0.3333 0.6667 0.5000 x2
Mo 0.0000 0.0000 0.5000 x1
O 0.0000 0.3093 0.6966 x6

Output
E: -5.299 eV/atom
Crystal system: trigonal

Record 2
An optimized crystal structure of BaMoP2O8. Source: Alexandria via LeMat-Bulk, functional PBE with a Hubbard U.

a = 4.975 Å, b = 5.005 Å, c = 7.983 Å
α = 86.28°, β = 86.80°, γ = 64.65°
Space group P-1 (No. 2)
Asymmetric unit:
Ba 0.000 0.000 0.000 x1
Mo 0.000 0.000 0.500 x1
P 0.364 0.368 0.288 x2
O 0.225 0.240 0.432 x2
O 0.242 0.707 0.310 x2
O 0.290 0.780 0.688 x2
O 0.307 0.313 0.111 x2

Output
Energy above the most stable polymorph in this dataset: 0.000 eV per atom
Crystal system: triclinic